Record 1
Material: Rb2MnTe3
Method: DFT, PBE-GGA
State: optimized geometry

* VASP energy: -4.04 eV per atom
* formation energy from raw total energies: -0.62 eV per atom
* theoretical density: 4.3 g cm⁻³

Lattice parameters (Å, degrees): 8.617 8.617 6.671 90.02 90.02 71.51
Atoms (fractional coordinates):
1 Rb 0.019 0.694 0.751
2 Rb 0.306 0.981 0.749
3 Rb 0.694 0.019 0.251
4 Rb 0.981 0.306 0.249
5 Mn 0.418 0.582 0.250
6 Mn 0.582 0.418 0.750
7 Te 0.157 0.843 0.250
8 Te 0.363 0.363 0.000
9 Te 0.363 0.363 0.500
10 Te 0.637 0.637 0.000
11 Te 0.637 0.637 0.500
12 Te 0.843 0.157 0.750


Record 2
Material: Rb2ThMnTe4
Method: DFT, PBE-GGA
State: optimized geometry

* VASP energy: -4.79 eV per atom
* formation energy from raw total energies: -0.90 eV per atom
* theoretical density: 5.3 g cm⁻³

Lattice parameters (Å, degrees): 7.770 4.535 8.948 90.00 107.54 90.00
Atoms (fractional coordinates):
1 Rb 0.000 0.000 0.000
2 Rb 0.500 0.500 0.000
3 Th 0.000 0.500 0.500
4 Mn 0.500 0.000 0.500
5 Te 0.241 0.000 0.703
6 Te 0.285 0.500 0.315
7 Te 0.715 0.500 0.685
8 Te 0.759 0.000 0.297


Record 3
Material: RbThMnTe4
Method: DFT, PBE-GGA
State: optimized geometry

* VASP energy: -5.13 eV per atom
* formation energy from raw total energies: -0.83 eV per atom
* theoretical density: 5.8 g cm⁻³

Lattice parameters (Å, degrees): 7.798 6.501 10.527 90.00 107.69 90.00
Atoms (fractional coordinates):
1 Rb 0.248 0.250 0.051
2 Rb 0.752 0.750 0.949
3 Th 0.264 0.250 0.556
4 Th 0.736 0.750 0.444
5 Mn 0.261 0.750 0.328
6 Mn 0.739 0.250 0.672
7 Te 0.018 0.509 0.703
8 Te 0.018 0.991 0.703
9 Te 0.430 0.750 0.590
10 Te 0.452 0.750 0.162
11 Te 0.548 0.250 0.838
12 Te 0.570 0.250 0.410
13 Te 0.982 0.009 0.297
14 Te 0.982 0.491 0.297